# 1
First-principles (GGA-PBE) data for an optimized crystal structure of NbCdPO, as listed in OQMD via LeMat-Bulk.

The structure in CIF format:
```
data_NbCdPO
_chemical_formula_sum 'Nb2 Cd2 P2 O2'
_cell_length_a 4.217
_cell_length_b 4.217
_cell_length_c 7.894
_cell_angle_alpha 90.00
_cell_angle_beta 90.00
_cell_angle_gamma 90.00
_space_group_name_H-M_alt 'P 4/n m m'
_space_group_IT_number 129
loop_
_space_group_symop_operation_xyz
'x,y,z'
'-x,-y,-z'
'-y+1/2,x,z'
'y+1/2,-x,-z'
'-x+1/2,-y+1/2,z'
'x+1/2,y+1/2,-z'
'y,-x+1/2,z'
'-y,x+1/2,-z'
'x+1/2,-y,-z'
'-x+1/2,y,z'
'-y,-x,-z'
'y,x,z'
'-x,y+1/2,-z'
'x,-y+1/2,z'
'y+1/2,x+1/2,-z'
'-y+1/2,-x+1/2,z'
loop_
_atom_site_label
_atom_site_fract_x
_atom_site_fract_y
_atom_site_fract_z
_atom_site_occupancy
Nb1 0.250 0.750 0.000 1
Cd1 0.250 0.250 0.404 1
P1 0.250 0.250 0.834 1
O1 0.250 0.750 0.500 1
```

Computed properties:
For the energy above the most stable polymorph in this dataset, the calculation gives 0.427 eV/atom. The value obtained for the total magnetization is 0.006 μB/atom. The value obtained for the final energy is -5.77 eV/atom. As for the crystal system: tetragonal. The value obtained for the density is 6.0 g/cm3.


# 2
First-principles (GGA-PBE) data for an optimized crystal structure of AcCdB4, as listed in OQMD via LeMat-Bulk.

The structure in CIF format:
```
data_AcCdB4
_chemical_formula_sum 'Ac2 Cd2 B8'
_cell_length_a 3.234
_cell_length_b 5.642
_cell_length_c 9.071
_cell_angle_alpha 90.00
_cell_angle_beta 90.00
_cell_angle_gamma 90.00
_space_group_name_H-M_alt 'I m m m'
_space_group_IT_number 71
_space_group_name_Hall '-I 2 2'
loop_
_atom_site_label
_atom_site_fract_x
_atom_site_fract_y
_atom_site_fract_z
_atom_site_occupancy
Ac1 0.000 0.000 0.000 1
Cd1 0.000 0.000 0.500 1
B1 0.000 0.319 0.256 1
```

Computed properties:
For the energy above the most stable polymorph in this dataset, the calculation gives 0.000 eV/atom. The value obtained for the total magnetization is 0.000 μB/atom. The value obtained for the final energy is -5.04 eV/atom. As for the crystal system: orthorhombic. The value obtained for the density is 7.7 g/cm3.